# 1
First-principles (PBE) data for NiRh3I after structural relaxation, as listed in the Alexandria database.

Energy: -4.3760 eV/atom
DOS at the Fermi energy: 2.839 states/eV/atom
Formation energy (no corrections): 1.5011 eV/atom
Relative energy among the computed polymorphs: 198 kJ/mol of formula units

Cell and atoms, written as extended XYZ:
```
5
Lattice="-0.586 0.386 -4.759 -2.921 -3.822 0.050 -3.777 2.896 0.700" Properties=species:S:1:pos:R:3 pbc="T T T"
Ni -3.642 -0.270 -2.004
I 0.000 0.000 0.000
Rh -1.461 -1.911 0.025
Rh -1.888 1.448 0.350
Rh -0.293 0.193 -2.380
```

# 2
First-principles (PBE) data for SnTeIr after structural relaxation, as listed in the Alexandria database.

Energy: -5.3942 eV/atom
DOS at the Fermi energy: 0.636 states/eV/atom
Formation energy (no corrections): -0.0590 eV/atom

Cell and atoms, written as extended XYZ:
```
3
Lattice="3.926 0.000 0.000 -1.963 3.400 0.000 0.000 0.000 5.466" Properties=species:S:1:pos:R:3 pbc="T T T"
Ir 0.000 2.267 0.312
Te 0.000 0.000 1.682
Sn 1.963 1.133 4.295
```

# 3
First-principles (PBE) data for K3Pm3TcO8 after structural relaxation, as listed in the Alexandria database.

Energy: -6.8842 eV/atom
Formation energy (no corrections): -2.3791 eV/atom

Cell and atoms, written as extended XYZ:
```
15
Lattice="-1.524 2.666 -6.271 -4.043 -4.984 2.751 -0.366 6.845 2.999" Properties=species:S:1:pos:R:3 pbc="T T T"
O -0.618 2.705 -0.441
O -3.222 4.373 -1.245
O -3.692 1.425 -2.384
O -2.710 0.154 0.724
O -2.241 3.101 1.863
O -5.314 1.822 -0.080
O -1.460 4.177 -3.903
O -4.473 0.350 3.382
Pm -2.204 0.930 2.875
Pm -0.945 4.755 -1.636
Pm -2.966 2.263 -0.261
K 0.000 0.000 0.000
K -2.021 -2.492 1.375
K -2.783 -1.159 -1.760
Tc -0.183 3.422 1.500
```

# 4
First-principles (PBE) data for SrCuIr2 after structural relaxation, as listed in the Alexandria database.

Formation enthalpy at 0 K: 0.38 eV/atom
Energy: -5.4905 eV/atom
DOS at the Fermi energy: 1.163 states/eV/atom
Relative energy among the computed polymorphs: 75 kJ/mol of formula units

Cell and atoms, written as extended XYZ:
```
4
Lattice="-2.581 -1.025 0.991 2.338 -3.091 2.895 0.033 3.340 3.541" Properties=species:S:1:pos:R:3 pbc="T T T"
Ir -0.121 -2.058 1.943
Ir 0.000 0.000 0.000
Cu 1.186 0.124 3.218
Sr -1.274 1.158 2.266
```

# 5
First-principles (PBE) data for AcLaZnOs after structural relaxation, as listed in the Alexandria database.

Formation enthalpy at 0 K: -0.04 eV/atom
Energy: -5.4199 eV/atom
DOS at the Fermi energy: 1.042 states/eV/atom

Cell and atoms, written as extended XYZ:
```
4
Lattice="-3.601 -1.832 3.347 1.503 -2.318 4.460 -0.773 2.407 4.597" Properties=species:S:1:pos:R:3 pbc="T T T"
Zn -0.718 -0.436 3.101
Ac 0.000 0.000 0.000
La -1.435 -0.872 6.202
Os -2.153 -1.307 9.304
```

# 6
First-principles (PBE) data for Pm2Pr5NdTm after structural relaxation, as listed in the Alexandria database.

Formation enthalpy at 0 K: 0.28 eV/atom
Energy: -4.4587 eV/atom
DOS at the Fermi energy: 1.700 states/eV/atom

Cell and atoms, written as extended XYZ:
```
18
Lattice="8.956 0.000 0.000 0.000 8.956 0.000 -4.478 -4.478 7.982" Properties=species:S:1:pos:R:3 pbc="T T T"
Nd 4.478 4.478 3.991
Nd 0.000 0.000 3.991
Pr 0.000 0.000 0.000
Pr -2.592 1.886 5.757
Pr -1.886 -2.592 5.757
Pr 1.886 2.592 5.757
Pr 2.592 1.886 2.224
Pr 4.478 4.478 0.000
Pr 1.886 6.364 2.224
Pr 2.592 -1.886 5.757
Pr 6.364 7.070 2.224
Pr 7.070 2.592 2.224
Pm 1.041 3.437 0.000
Pm 7.915 5.519 0.000
Pm 3.437 7.915 0.000
Pm 5.519 1.041 0.000
Tm 4.478 0.000 3.991
Tm 0.000 4.478 3.991
```

# 7
First-principles (PBE) data for Dy2HoTh after structural relaxation, as listed in the Alexandria database.

Formation enthalpy at 0 K: 0.03 eV/atom
Energy: -5.2723 eV/atom
DOS at the Fermi energy: 1.225 states/eV/atom
Relative energy among the computed polymorphs: 2 kJ/mol of formula units

Cell and atoms, written as extended XYZ:
```
4
Lattice="3.552 0.000 0.000 0.000 3.552 0.000 0.000 0.000 10.051" Properties=species:S:1:pos:R:3 pbc="T T T"
Ho 1.776 1.776 0.000
Dy 0.000 0.000 7.493
Dy 0.000 0.000 2.558
Th 1.776 1.776 5.026
```

# 8
First-principles (PBE) data for LiLa3Y3S8 after structural relaxation, as listed in the Alexandria database.

Energy: -6.6420 eV/atom
DOS at the Fermi energy: 0.306 states/eV/atom
Formation energy (no corrections): -2.0348 eV/atom

Cell and atoms, written as extended XYZ:
```
15
Lattice="-3.176 -6.801 2.652 3.376 0.274 -7.204 4.628 0.406 6.581" Properties=species:S:1:pos:R:3 pbc="T T T"
S 4.356 -4.506 -0.330
S 0.573 -4.900 0.068
S 4.255 -1.222 1.961
S -1.126 -5.035 3.690
S 0.472 -1.616 2.358
S 2.674 -4.630 3.275
S 5.954 -1.086 -1.661
S 2.155 -1.492 -1.246
Y 4.002 0.340 -0.311
Y 2.414 -3.061 1.014
Y 0.726 -3.198 4.616
La 0.100 -3.264 -2.276
La 1.688 0.137 -3.602
La 0.000 0.000 0.000
Li 2.314 0.203 3.290
```